The following is a PBE calculation of crystalline BaTe5 at its relaxed geometry, from Alexandria via LeMat-Bulk.

* crystal system: monoclinic
* energy relative to the lowest polymorph listed for this composition: 73 meV per atom
* E_form (uncorrected): -2.54 eV/f.u.
* SG: Cm

abc: 6.204 6.204 8.750
angles: 79.45 79.45 48.65
Fractional coordinates of all 6 atoms:
Ba 0.966 0.966 0.962
Te 0.355 0.355 0.722
Te 0.705 0.705 0.358
Te 0.608 0.608 0.703
Te 0.946 0.946 0.366
Te 0.254 0.254 0.056